1.
{
  "formula": "CaAlGe2",
  "functional": "PBE",
  "state": "optimized geometry",
  "space_group": "I-42d",
  "ef_ev_per_atom": -0.117,
  "dos_at_fermi_per_ev_cell": 2.95,
  "mass_density_g_cm3": 3.4,
  "vol_a3_per_atom": 25.958,
  "lattice_angstrom": [[5.062, 0.000, 0.000], [0.000, 5.062, 0.000], [0.000, 0.000, 16.206]],
  "species": ["Ca", "Ca", "Ca", "Ca", "Al", "Al", "Al", "Al", "Ge", "Ge", "Ge", "Ge", "Ge", "Ge", "Ge", "Ge"],
  "fractional_positions": [[0.000, 0.000, 0.000], [0.000, 0.500, 0.250], [0.500, 0.000, 0.750], [0.500, 0.500, 0.500], [0.000, 0.000, 0.500], [0.000, 0.500, 0.750], [0.500, 0.000, 0.250], [0.500, 0.500, 0.000], [0.129, 0.250, 0.625], [0.250, 0.629, 0.875], [0.250, 0.871, 0.375], [0.371, 0.250, 0.125], [0.629, 0.750, 0.125], [0.750, 0.129, 0.375], [0.750, 0.371, 0.875], [0.871, 0.750, 0.625]]
}



2.
{
  "formula": "ZrS2I",
  "functional": "PBE",
  "state": "optimized geometry",
  "e_form_raw_ev_per_atom": -0.152,
  "space_group": "Fm-3m",
  "dos_at_fermi_per_ev_cell": 19.09,
  "mass_density_g_cm3": 5.8,
  "vol_a3_per_atom": 20.068,
  "lattice_angstrom": [[6.848, 0.000, 0.000], [0.000, 6.848, 0.000], [0.000, 0.000, 6.848]],
  "species": ["Zr", "Zr", "Zr", "Zr", "S", "S", "S", "S", "S", "S", "S", "S", "I", "I", "I", "I"],
  "fractional_positions": [[0.000, 0.000, 0.000], [0.000, 0.500, 0.500], [0.500, 0.000, 0.500], [0.500, 0.500, 0.000], [0.250, 0.250, 0.250], [0.250, 0.250, 0.750], [0.250, 0.750, 0.250], [0.250, 0.750, 0.750], [0.750, 0.250, 0.250], [0.750, 0.250, 0.750], [0.750, 0.750, 0.250], [0.750, 0.750, 0.750], [0.000, 0.000, 0.500], [0.000, 0.500, 0.000], [0.500, 0.000, 0.000], [0.500, 0.500, 0.500]]
}